No. 1
A plane-wave DFT calculation with PBE was carried out for NaSm2Hg3 after structural relaxation.

POSCAR file:
```
NaSm2Hg3
1.0
3.756 0.000 0.000
0.000 3.756 0.000
0.000 0.000 11.514
Na Sm Hg
1 2 3
Cartesian
1.878 1.878 5.757
1.878 1.878 9.590
1.878 1.878 1.925
0.000 0.000 0.000
0.000 0.000 7.761
0.000 0.000 3.753
```

**D(E_F)**: 4.45 states/eV/f.u.
**ρ**: 9.463 Mg/m³
**E above lowest polymorph**: 0.09 eV/f.u.
**Energy of formation**: -0.388 eV/atom
**Energy**: -2.3318 eV/atom
**Space group**: P4/mmm (123)



No. 2
A plane-wave DFT calculation with PBE was carried out for Na2SmHg3 after structural relaxation.

POSCAR file:
```
Na2SmHg3
1.0
5.265 0.000 0.021
2.632 7.901 0.010
-0.030 0.000 7.582
Na Sm Hg
4 2 6
Cartesian
0.000 0.000 0.000
-0.015 0.000 3.791
2.617 2.630 3.801
5.250 5.271 3.812
2.632 2.595 0.010
5.265 5.306 0.021
5.242 2.671 5.765
2.624 0.000 1.901
2.625 5.230 1.848
5.257 2.671 1.858
2.610 5.230 5.755
2.610 0.000 5.702
```

**D(E_F)**: 3.79 states/eV/f.u.
**ρ**: 8.404 Mg/m³
**E above lowest polymorph**: 0.13 eV/f.u.
**Energy of formation**: -0.295 eV/atom
**Energy**: -1.6721 eV/atom
**Space group**: Cmmm (65)



No. 3
A plane-wave DFT calculation with PBE was carried out for NaSm2Hg after structural relaxation.

POSCAR file:
```
NaSm2Hg
1.0
3.580 0.000 0.000
1.790 3.100 0.000
1.790 1.033 12.103
Na Hg Sm
1 1 2
Cartesian
0.000 0.000 0.000
3.580 2.067 6.052
1.790 1.033 8.509
5.370 3.100 3.595
```

**D(E_F)**: 4.88 states/eV/f.u.
**ρ**: 6.481 Mg/m³
**E above lowest polymorph**: 0.42 eV/f.u.
**Energy of formation**: 0.026 eV/atom
**Energy**: -2.7390 eV/atom
**Space group**: R-3m (166)



No. 4
A plane-wave DFT calculation with PBE was carried out for Na2SmHg6 after structural relaxation.

POSCAR file:
```
Na2SmHg6
1.0
3.366 -0.001 0.000
-0.001 7.646 4.396
-0.003 0.014 8.820
Na Sm Hg
2 1 6
Cartesian
-0.001 2.553 4.405
3.363 5.107 8.811
0.000 0.000 0.000
1.675 5.093 11.740
1.686 0.005 2.961
1.687 2.567 1.476
1.681 5.083 5.882
1.676 7.655 10.254
1.681 2.577 7.334
```

**D(E_F)**: 5.61 states/eV/f.u.
**ρ**: 10.251 Mg/m³
**Energy of formation**: -0.269 eV/atom
**Energy**: -1.2878 eV/atom
**Space group**: P6/mmm (191)



No. 5
A plane-wave DFT calculation with PBE was carried out for NaSm6Hg5 after structural relaxation.

POSCAR file:
```
NaSm6Hg5
1.0
-1.901 -2.496 4.372
7.167 -5.139 -3.129
1.293 8.961 2.366
Na Hg Sm
1 5 6
Cartesian
0.000 0.000 0.000
1.242 5.554 3.711
3.246 4.274 0.539
3.279 0.663 1.804
5.214 -0.452 -1.302
5.317 -4.228 -0.102
0.663 2.759 1.863
3.878 3.409 3.633
0.779 -0.898 3.137
5.780 2.224 0.471
2.681 -2.083 -0.024
5.896 -1.433 1.745
```

**D(E_F)**: 14.39 states/eV/f.u.
**ρ**: 9.643 Mg/m³
**Energy of formation**: -0.355 eV/atom
**Energy**: -2.9502 eV/atom
**Space group**: Immm (71)



No. 6
A plane-wave DFT calculation with PBE was carried out for NaSmHg4 after structural relaxation.

POSCAR file:
```
NaSmHg4
1.0
-5.440 2.526 -0.329
-4.420 -2.765 -2.983
-4.612 -2.399 3.009
Na Hg Sm
1 4 1
Cartesian
-3.618 -0.659 -0.076
-6.739 -0.449 -1.694
-6.835 -0.266 1.302
-9.045 -1.649 -0.189
-6.325 -2.912 -0.025
0.000 0.000 0.000
```

**D(E_F)**: 4.22 states/eV/f.u.
**ρ**: 10.573 Mg/m³
**E above lowest polymorph**: 0.94 eV/f.u.
**Energy of formation**: -0.150 eV/atom
**Energy**: -1.3579 eV/atom
**Space group**: F-43m (216)



No. 7
A plane-wave DFT calculation with PBE was carried out for Na2SmHg7 after structural relaxation.

POSCAR file:
```
Na2SmHg7
1.0
5.180 0.000 0.000
-2.590 4.486 0.000
0.000 0.000 11.764
Na Sm Hg
2 1 7
Cartesian
2.590 1.495 3.033
0.000 2.991 7.779
0.000 0.000 0.315
0.000 2.991 4.852
0.000 2.991 1.918
0.000 0.000 3.577
0.000 0.000 8.860
2.590 1.495 6.502
2.590 1.495 11.046
0.000 2.991 10.740
```

**D(E_F)**: 2.42 states/eV/f.u.
**ρ**: 9.723 Mg/m³
**Energy of formation**: -0.202 eV/atom
**Energy**: -1.1486 eV/atom
**Space group**: P3m1 (156)



No. 8
A plane-wave DFT calculation with PBE was carried out for Na2SmHg3 after structural relaxation.

POSCAR file:
```
Na2SmHg3
1.0
5.294 0.000 0.000
-2.647 4.585 0.000
0.000 0.000 6.400
Na Sm Hg
2 1 3
Cartesian
2.647 1.528 2.274
0.000 3.057 4.126
0.000 0.000 0.000
0.000 0.000 3.200
2.647 1.528 5.498
0.000 3.057 0.902
```

**D(E_F)**: 4.80 states/eV/f.u.
**ρ**: 8.532 Mg/m³
**E above lowest polymorph**: 0.00 eV/f.u.
**Energy of formation**: -0.317 eV/atom
**Energy**: -1.6937 eV/atom
**Space group**: P-3m1 (164)



No. 9
A plane-wave DFT calculation with PBE was carried out for NaSm2Hg after structural relaxation.

POSCAR file:
```
NaSm2Hg
1.0
4.011 0.000 0.000
0.000 5.347 0.000
0.000 0.000 5.347
Na Hg Sm
1 1 2
Cartesian
2.005 0.000 0.000
2.005 2.673 2.673
0.000 0.000 2.673
0.000 2.673 0.000
```

**D(E_F)**: 4.26 states/eV/f.u.
**ρ**: 7.593 Mg/m³
**E above lowest polymorph**: 0.02 eV/f.u.
**Energy of formation**: -0.074 eV/atom
**Energy**: -2.8385 eV/atom
**Space group**: P4/mmm (123)



No. 10
A plane-wave DFT calculation with PBE was carried out for Na4SmHg5 after structural relaxation.

POSCAR file:
```
Na4SmHg5
1.0
3.700 0.000 0.000
0.000 3.700 0.000
0.000 0.000 19.165
Na Sm Hg
4 1 5
Cartesian
0.000 0.000 3.875
0.000 0.000 7.711
0.000 0.000 11.454
0.000 0.000 15.289
0.000 0.000 0.000
1.850 1.850 1.928
1.850 1.850 5.834
1.850 1.850 9.582
1.850 1.850 13.330
1.850 1.850 17.237
```

**D(E_F)**: 6.27 states/eV/f.u.
**ρ**: 7.881 Mg/m³
**Energy of formation**: -0.276 eV/atom
**Energy**: -1.4260 eV/atom
**Space group**: P4/mmm (123)



No. 11
A plane-wave DFT calculation with PBE was carried out for Na3SmHg7 after structural relaxation.

POSCAR file:
```
Na3SmHg7
1.0
-2.468 0.471 -2.500
-2.745 -10.061 3.325
-9.917 6.335 10.982
Na Sm Hg
6 2 14
Cartesian
-5.702 0.790 5.776
-9.429 -4.045 6.030
-9.355 0.019 9.236
-5.776 -3.273 2.571
-1.092 -2.154 0.672
-14.038 -1.100 11.135
-7.567 -7.697 3.505
-7.563 4.443 8.302
-10.525 -2.871 9.846
-4.606 -0.384 1.961
-5.354 2.749 3.290
-9.777 -6.004 8.517
-12.982 -3.956 12.066
-2.149 0.702 -0.259
-6.380 -5.152 5.325
-8.751 1.897 6.482
-6.155 -2.254 5.650
-8.975 -1.001 6.157
-12.347 1.152 9.890
-2.784 -4.407 1.917
-4.516 -6.342 3.262
-10.614 3.087 8.545
```

**D(E_F)**: 5.82 states/eV/f.u.
**ρ**: 8.749 Mg/m³
**Energy of formation**: -0.206 eV/atom
**Energy**: -1.1869 eV/atom
**Space group**: Cmcm (63)



No. 12
A plane-wave DFT calculation with PBE was carried out for NaSm2Hg after structural relaxation.

POSCAR file:
```
NaSm2Hg
1.0
3.831 0.000 0.000
0.000 3.831 0.000
0.000 0.000 8.377
Na Hg Sm
1 1 2
Cartesian
1.915 1.915 4.188
1.915 1.915 0.000
0.000 0.000 6.593
0.000 0.000 1.784
```

**D(E_F)**: 4.63 states/eV/f.u.
**ρ**: 7.082 Mg/m³
**E above lowest polymorph**: 0.00 eV/f.u.
**Energy of formation**: -0.078 eV/atom
**Energy**: -2.8432 eV/atom
**Space group**: P4/mmm (123)



Question: Look up the energy of the sixth one.
Answer: -1.3579 eV/atom